The following is a DFT calculation (GGA-PBE) of a relaxed structure of Rb2YNpO6.

**Energy relative to the elements, uncorrected**: -2642 meV per atom
**Crystal system**: cubic

Structure (CIF):
```
data_Rb2YNpO6
_chemical_formula_sum 'Rb8 Y4 Np4 O24'
_symmetry_space_group_name_H-M 'F m -3 m'
_symmetry_Int_Tables_number 225
_symmetry_space_group_name_Hall '-F 4 2 3'
_cell_length_a 8.687
_cell_length_b 8.687
_cell_length_c 8.687
_cell_angle_alpha 90.00
_cell_angle_beta 90.00
_cell_angle_gamma 90.00
loop_
_atom_site_label
_atom_site_fract_x
_atom_site_fract_y
_atom_site_fract_z
Rb1 0.250 0.250 0.250
Y1 0.000 0.000 0.000
Np1 0.000 0.000 0.500
O1 0.000 0.000 0.265
```

=====

The following is a DFT calculation (GGA-PBE) of a relaxed structure of Rb3Y3NpO8.

**D(E_F)**: 0.720 states/eV per atom
**Energy relative to the elements, uncorrected**: -2752 meV per atom
**Crystal system**: trigonal

Structure (CIF):
```
data_Rb3Y3NpO8
_chemical_formula_sum 'Rb9 Y9 Np3 O24'
_symmetry_space_group_name_H-M 'R -3 m'
_symmetry_Int_Tables_number 166
_symmetry_space_group_name_Hall '-R 3 2"'
_cell_length_a 7.0097
_cell_length_b 7.0097
_cell_length_c 19.9621
_cell_angle_alpha 90.00
_cell_angle_beta 90.00
_cell_angle_gamma 120.00
loop_
_atom_site_label
_atom_site_fract_x
_atom_site_fract_y
_atom_site_fract_z
Rb1 0.0000 0.5000 0.0000
Y1 0.0000 0.5000 0.5000
Np1 0.0000 0.0000 0.5000
O1 0.0000 0.0000 0.2234
O2 0.0106 0.5053 0.2222
```

=====

The following is a DFT calculation (GGA-PBE) of a relaxed structure of RbYNpO6.

**D(E_F)**: 0.817 states/eV per atom
**Energy relative to the elements, uncorrected**: -2482 meV per atom
**Crystal system**: trigonal

Structure (CIF):
```
data_RbYNpO6
_chemical_formula_sum 'Rb1 Y1 Np1 O6'
_symmetry_space_group_name_H-M 'P 3 1 2'
_symmetry_Int_Tables_number 149
_symmetry_space_group_name_Hall 'P 3 2'
_cell_length_a 5.8935
_cell_length_b 5.8935
_cell_length_c 6.0139
_cell_angle_alpha 90.00
_cell_angle_beta 90.00
_cell_angle_gamma 120.00
loop_
_atom_site_label
_atom_site_fract_x
_atom_site_fract_y
_atom_site_fract_z
Rb1 0.0000 0.0000 0.0000
Y1 0.3333 0.6667 0.5000
Np1 0.6667 0.3333 0.5000
O1 0.4003 0.0343 0.6826
```

=====

The following is a DFT calculation (GGA-PBE) of a relaxed structure of Rb2Y2NpO6.

**D(E_F)**: 0.915 states/eV per atom
**Energy relative to the elements, uncorrected**: -2779 meV per atom
**Crystal system**: monoclinic

Structure (CIF):
```
data_Rb2Y2NpO6
_chemical_formula_sum 'Rb4 Y4 Np2 O12'
_symmetry_space_group_name_H-M 'C 1 2/m 1'
_symmetry_Int_Tables_number 12
_symmetry_space_group_name_Hall '-C 2y'
_cell_length_a 6.056
_cell_length_b 10.494
_cell_length_c 6.992
_cell_angle_alpha 90.00
_cell_angle_beta 106.94
_cell_angle_gamma 90.00
loop_
_atom_site_label
_atom_site_fract_x
_atom_site_fract_y
_atom_site_fract_z
Rb1 0.000 0.169 0.000
Y1 0.000 0.334 0.500
Np1 0.000 0.000 0.500
O1 0.216 0.166 0.665
O2 0.237 0.500 0.663
```

=====

Please write out number 3 again, unchanged.
The following is a DFT calculation (GGA-PBE) of a relaxed structure of RbYNpO6.

**D(E_F)**: 0.817 states/eV per atom
**Energy relative to the elements, uncorrected**: -2482 meV per atom
**Crystal system**: trigonal

Structure (CIF):
```
data_RbYNpO6
_chemical_formula_sum 'Rb1 Y1 Np1 O6'
_symmetry_space_group_name_H-M 'P 3 1 2'
_symmetry_Int_Tables_number 149
_symmetry_space_group_name_Hall 'P 3 2'
_cell_length_a 5.8935
_cell_length_b 5.8935
_cell_length_c 6.0139
_cell_angle_alpha 90.00
_cell_angle_beta 90.00
_cell_angle_gamma 120.00
loop_
_atom_site_label
_atom_site_fract_x
_atom_site_fract_y
_atom_site_fract_z
Rb1 0.0000 0.0000 0.0000
Y1 0.3333 0.6667 0.5000
Np1 0.6667 0.3333 0.5000
O1 0.4003 0.0343 0.6826
```

=====

Please write out number 4 again, unchanged.
The following is a DFT calculation (GGA-PBE) of a relaxed structure of Rb2Y2NpO6.

**D(E_F)**: 0.915 states/eV per atom
**Energy relative to the elements, uncorrected**: -2779 meV per atom
**Crystal system**: monoclinic

Structure (CIF):
```
data_Rb2Y2NpO6
_chemical_formula_sum 'Rb4 Y4 Np2 O12'
_symmetry_space_group_name_H-M 'C 1 2/m 1'
_symmetry_Int_Tables_number 12
_symmetry_space_group_name_Hall '-C 2y'
_cell_length_a 6.056
_cell_length_b 10.494
_cell_length_c 6.992
_cell_angle_alpha 90.00
_cell_angle_beta 106.94
_cell_angle_gamma 90.00
loop_
_atom_site_label
_atom_site_fract_x
_atom_site_fract_y
_atom_site_fract_z
Rb1 0.000 0.169 0.000
Y1 0.000 0.334 0.500
Np1 0.000 0.000 0.500
O1 0.216 0.166 0.665
O2 0.237 0.500 0.663
```